(1)
This record from Alexandria via LeMat-Bulk describes an optimized crystal structure of Er2CdPd9. The functional is PBE.

Structure (POSCAR):
```
Er2CdPd9
1.0
4.074 0.000 0.000
0.000 4.074 0.000
0.000 0.000 12.278
Er Cd Pd
2 1 9
Direct
0.000 0.000 0.170 Er
0.000 0.000 0.830 Er
0.000 0.000 0.500 Cd
0.000 0.500 0.000 Pd
0.000 0.500 0.336 Pd
0.000 0.500 0.664 Pd
0.500 0.000 0.000 Pd
0.500 0.000 0.336 Pd
0.500 0.000 0.664 Pd
0.500 0.500 0.167 Pd
0.500 0.500 0.500 Pd
0.500 0.500 0.833 Pd
```

Output
**Raw total energy**: -5.408 eV per atom
**Energy relative to the elements**: -676 meV per atom

(2)
This record from Alexandria via LeMat-Bulk describes an optimized crystal structure of ErCd11Pd. The functional is PBE.

Structure (POSCAR):
```
ErCd11Pd
1.0
2.883 -7.068 0.000
2.883 7.068 0.000
-2.844 0.000 6.996
Er Cd Pd
1 11 1
Direct
0.000 0.000 0.000 Er
0.000 0.500 0.000 Cd
0.005 0.665 0.645 Cd
0.280 0.488 0.787 Cd
0.335 0.995 0.355 Cd
0.488 0.280 0.787 Cd
0.500 0.000 0.000 Cd
0.500 0.500 0.500 Cd
0.512 0.720 0.213 Cd
0.665 0.005 0.645 Cd
0.720 0.512 0.213 Cd
0.995 0.335 0.355 Cd
0.000 0.000 0.500 Pd
```

Output
**Raw total energy**: -1.655 eV per atom
**Energy relative to the elements**: -130 meV per atom

(3)
This record from Alexandria via LeMat-Bulk describes an optimized crystal structure of Er5Cd2Pd2. The functional is PBE.

Structure (POSCAR):
```
Er5Cd2Pd2
1.0
7.996 -3.830 0.000
7.996 3.830 0.000
0.000 0.000 7.497
Er Cd Pd
10 4 4
Direct
0.000 0.000 0.000 Er
0.055 0.699 0.672 Er
0.199 0.555 0.172 Er
0.301 0.945 0.672 Er
0.445 0.801 0.172 Er
0.500 0.500 0.500 Er
0.555 0.199 0.828 Er
0.699 0.055 0.328 Er
0.801 0.445 0.828 Er
0.945 0.301 0.328 Er
0.217 0.217 0.000 Cd
0.283 0.283 0.500 Cd
0.717 0.717 0.500 Cd
0.783 0.783 0.000 Cd
0.130 0.870 0.370 Pd
0.370 0.630 0.870 Pd
0.630 0.370 0.130 Pd
0.870 0.130 0.630 Pd
```

Output
**Raw total energy**: -4.395 eV per atom
**Energy relative to the elements**: -503 meV per atom

(4)
This record from Alexandria via LeMat-Bulk describes an optimized crystal structure of Er2Cd2Pd5. The functional is PBE.

Structure (POSCAR):
```
Er2Cd2Pd5
1.0
-6.991 3.384 3.820
6.991 -3.384 3.820
6.991 3.384 -3.820
Er Cd Pd
4 4 10
Direct
0.025 0.127 0.153 Er
0.025 0.373 0.398 Er
0.975 0.627 0.602 Er
0.975 0.873 0.847 Er
0.583 0.867 0.216 Cd
0.618 0.118 0.500 Cd
0.618 0.618 0.000 Cd
0.651 0.367 0.784 Cd
0.119 0.054 0.565 Pd
0.128 0.262 0.774 Pd
0.128 0.854 0.366 Pd
0.138 0.467 0.970 Pd
0.138 0.668 0.171 Pd
0.488 0.354 0.226 Pd
0.488 0.762 0.634 Pd
0.489 0.554 0.435 Pd
0.497 0.168 0.030 Pd
0.497 0.967 0.829 Pd
```

Output
**Raw total energy**: -4.648 eV per atom
**Energy relative to the elements**: -546 meV per atom

(5)
This record from Alexandria via LeMat-Bulk describes an optimized crystal structure of Er2CdPd4. The functional is PBE.

Structure (POSCAR):
```
Er2CdPd4
1.0
3.887 -2.495 0.000
3.887 2.495 0.000
-0.769 0.000 7.451
Er Cd Pd
2 1 4
Direct
0.212 0.212 0.285 Er
0.788 0.788 0.715 Er
0.500 0.500 0.000 Cd
0.144 0.144 0.884 Pd
0.406 0.406 0.637 Pd
0.594 0.594 0.363 Pd
0.856 0.856 0.116 Pd
```

Output
**Excess energy over the best structure of this formula in the dataset**: 0.939 kcal/mol of atoms
**Raw total energy**: -5.064 eV per atom
**Energy relative to the elements**: -662 meV per atom

(6)
This record from Alexandria via LeMat-Bulk describes an optimized crystal structure of Er3Cd2Pd3. The functional is PBE.

Structure (POSCAR):
```
Er3Cd2Pd3
1.0
8.399 0.000 0.000
-4.199 7.273 0.000
0.000 0.000 5.732
Er Cd Pd
6 4 6
Direct
0.000 0.271 0.250 Er
0.000 0.729 0.750 Er
0.271 0.000 0.250 Er
0.271 0.271 0.750 Er
0.729 0.000 0.750 Er
0.729 0.729 0.250 Er
0.333 0.667 0.000 Cd
0.333 0.667 0.500 Cd
0.667 0.333 0.000 Cd
0.667 0.333 0.500 Cd
0.000 0.385 0.750 Pd
0.000 0.615 0.250 Pd
0.385 0.000 0.750 Pd
0.385 0.385 0.250 Pd
0.615 0.000 0.250 Pd
0.615 0.615 0.750 Pd
```

Output
**Excess energy over the best structure of this formula in the dataset**: 0.000 kcal/mol of atoms
**Raw total energy**: -4.588 eV per atom
**Energy relative to the elements**: -701 meV per atom

(7)
This record from Alexandria via LeMat-Bulk describes an optimized crystal structure of ErCd4Pd7. The functional is PBE.

Structure (POSCAR):
```
ErCd4Pd7
1.0
5.319 -2.501 0.000
5.319 2.501 0.000
-4.984 0.000 8.653
Er Cd Pd
1 4 7
Direct
0.000 0.000 0.000 Er
0.246 0.246 0.667 Cd
0.413 0.413 0.229 Cd
0.587 0.587 0.771 Cd
0.754 0.754 0.333 Cd
0.059 0.059 0.337 Pd
0.215 0.215 0.920 Pd
0.357 0.357 0.472 Pd
0.500 0.500 0.000 Pd
0.643 0.643 0.528 Pd
0.785 0.785 0.080 Pd
0.941 0.941 0.663 Pd
```

Output
**Raw total energy**: -4.014 eV per atom
**Energy relative to the elements**: -300 meV per atom

(8)
This record from Alexandria via LeMat-Bulk describes an optimized crystal structure of Er4CdPd2. The functional is PBE.

Structure (POSCAR):
```
Er4CdPd2
1.0
4.935 0.000 0.000
0.000 4.935 0.000
0.000 0.000 7.136
Er Cd Pd
4 1 2
Direct
0.000 0.500 0.240 Er
0.000 0.500 0.760 Er
0.500 0.000 0.240 Er
0.500 0.000 0.760 Er
0.000 0.000 0.500 Cd
0.000 0.000 0.000 Pd
0.500 0.500 0.500 Pd
```

Output
**Excess energy over the best structure of this formula in the dataset**: 0.000 kcal/mol of atoms
**Raw total energy**: -4.743 eV per atom
**Energy relative to the elements**: -521 meV per atom

(9)
This record from Alexandria via LeMat-Bulk describes an optimized crystal structure of Er3CdPd5. The functional is PBE.

Structure (POSCAR):
```
Er3CdPd5
1.0
8.404 0.000 0.000
-4.202 7.278 0.000
0.000 0.000 5.768
Er Cd Pd
6 2 10
Direct
0.000 0.363 0.250 Er
0.000 0.637 0.750 Er
0.363 0.000 0.250 Er
0.363 0.363 0.750 Er
0.637 0.000 0.750 Er
0.637 0.637 0.250 Er
0.000 0.000 0.000 Cd
0.000 0.000 0.500 Cd
0.000 0.309 0.750 Pd
0.000 0.691 0.250 Pd
0.309 0.000 0.750 Pd
0.309 0.309 0.250 Pd
0.333 0.667 0.000 Pd
0.333 0.667 0.500 Pd
0.667 0.333 0.000 Pd
0.667 0.333 0.500 Pd
0.691 0.000 0.250 Pd
0.691 0.691 0.750 Pd
```

Output
**Raw total energy**: -5.338 eV per atom
**Energy relative to the elements**: -830 meV per atom

(10)
This record from Alexandria via LeMat-Bulk describes an optimized crystal structure of Er2Cd3Pd2. The functional is PBE.

Structure (POSCAR):
```
Er2Cd3Pd2
1.0
5.065 -1.954 0.000
5.065 1.954 0.000
-0.594 0.000 7.766
Er Cd Pd
2 3 2
Direct
0.122 0.122 0.354 Er
0.878 0.878 0.646 Er
0.194 0.194 0.868 Cd
0.500 0.500 0.000 Cd
0.806 0.806 0.132 Cd
0.406 0.406 0.363 Pd
0.594 0.594 0.637 Pd
```

Output
**Excess energy over the best structure of this formula in the dataset**: 0.564 kcal/mol of atoms
**Raw total energy**: -3.752 eV per atom
**Energy relative to the elements**: -573 meV per atom

(11)
This record from Alexandria via LeMat-Bulk describes an optimized crystal structure of ErCd4Pd5. The functional is PBE.

Structure (POSCAR):
```
ErCd4Pd5
1.0
3.452 0.000 0.000
0.000 3.452 0.000
0.000 0.000 15.291
Er Cd Pd
1 4 5
Direct
0.000 0.000 0.000 Er
0.000 0.000 0.207 Cd
0.000 0.000 0.402 Cd
0.000 0.000 0.598 Cd
0.000 0.000 0.793 Cd
0.500 0.500 0.105 Pd
0.500 0.500 0.303 Pd
0.500 0.500 0.500 Pd
0.500 0.500 0.697 Pd
0.500 0.500 0.895 Pd
```

Output
**Raw total energy**: -3.936 eV per atom
**Energy relative to the elements**: -517 meV per atom

(12)
This record from Alexandria via LeMat-Bulk describes an optimized crystal structure of PmErCdPd. The functional is PBE.

Structure (POSCAR):
```
PmErCdPd
1.0
0.000 3.655 3.655
3.655 0.000 3.655
3.655 3.655 0.000
Pm Er Cd Pd
1 1 1 1
Direct
0.000 0.000 0.000 Pm
0.500 0.500 0.500 Er
0.250 0.250 0.250 Cd
0.750 0.750 0.750 Pd
```

Output
**Raw total energy**: -4.376 eV per atom
**Energy relative to the elements**: -520 meV per atom